Entry from Alexandria: a geometry-optimized ScRu2Rh structure (GGA-PBE).

a = 2.9735 Å, b = 4.5078 Å, c = 4.5799 Å
α = 90.00°, β = 90.00°, γ = 90.00°
Closest atoms and distances in Å follow each position.
Space group Pmmm (No. 47)
Unique sites:
1 Sc 0.0000 0.0000 0.0000 [1 per cell]  4 Rh 2.70, 4 Ru 2.73, 2 Sc 2.97
2 Ru 0.0000 0.5000 0.5000 [1 per cell]  6 Ru 2.70-2.97, 4 Rh 2.73
3 Ru 0.5000 0.0000 0.5000 [1 per cell]  6 Ru 2.70-2.97, 4 Sc 2.73
4 Rh 0.5000 0.5000 0.0000 [1 per cell]  4 Sc 2.70, 4 Ru 2.73, 2 Rh 2.97

Mass density = 9.5 Mg/m³
DFT formation energy = -167 meV/atom
Magnetization = 1.40 μB per formula unit



Entry from Alexandria: a geometry-optimized Li2Zn5Cu2Pd structure (GGA-PBE).

a = 8.6556 Å, b = 8.6556 Å, c = 3.9179 Å
α = 90.00°, β = 90.00°, γ = 90.00°
Closest atoms and distances in Å follow each position.
Space group P4/mbm (No. 127)
Unique sites:
1 Li 0.1753 0.3247 0.0000 [4 per cell]  3 Cu 2.52-2.59
2 Zn 0.0000 0.5000 0.5000 [2 per cell]  4 Cu 2.44, 4 Zn 2.67
3 Zn 0.0731 0.7992 0.5000 [8 per cell]  2 Cu 2.53, 4 Zn 2.62-2.77, 2 Pd 2.69
4 Cu 0.1192 0.6192 0.0000 [4 per cell]  6 Zn 2.44-2.53, 3 Li 2.52-2.59
5 Pd 0.0000 0.0000 0.0000 [2 per cell]  8 Zn 2.69

Mass density = 6.5 Mg/m³
DFT formation energy = -196 meV/atom
Magnetization = 0.00 μB per formula unit



Entry from Alexandria: a geometry-optimized Cu4Ag structure (GGA-PBE).

a = 4.6820 Å, b = 4.6820 Å, c = 4.6820 Å
α = 90.00°, β = 90.00°, γ = 90.00°
Closest atoms and distances in Å follow each position.
Space group Pm-3m (No. 221)
Unique sites:
1 Cu 0.0000 0.0000 0.0000 [1 per cell]  12 Cu 3.31
2 Cu 0.0000 0.5000 0.5000 [3 per cell]  2 Ag 2.34
3 Ag 0.5000 0.5000 0.5000 [1 per cell]  6 Cu 2.34

Mass density = 5.9 Mg/m³
DFT formation energy = 1174 meV/atom
Magnetization = 0.00 μB per formula unit



Entry from Alexandria: a geometry-optimized FeSiHgBiPt structure (GGA-PBE).

a = 6.4024 Å, b = 3.6880 Å, c = 8.8409 Å
α = 90.00°, β = 104.14°, γ = 90.00°
Closest atoms and distances in Å follow each position.
Space group Cm (No. 8)
Unique sites:
1 Fe 0.0000 0.0000 0.0000 [2 per cell]  3 Si 2.32
2 Si 0.1314 0.5000 0.8940 [2 per cell]  3 Fe 2.32, 3 Pt 2.37
3 Hg 0.0107 0.5000 0.5281 [2 per cell]  3 Pt 2.99-3.01, 1 Si 3.14
4 Bi 0.2416 0.5000 0.2182 [2 per cell]  1 Si 2.78, 3 Fe 2.83-2.84
5 Pt 0.2578 0.0000 0.7733 [2 per cell]  3 Si 2.37

Mass density = 11.3 Mg/m³
Formation energy without anion corrections = -0.024 eV/atom
Magnetization = 0.36 μB per formula unit



Entry from Alexandria: a geometry-optimized MnCr4 structure (GGA-PBE).

a = 6.3374 Å, b = 6.3374 Å, c = 2.8386 Å
α = 90.00°, β = 90.00°, γ = 90.00°
Closest atoms and distances in Å follow each position.
Space group I4/m (No. 87)
Unique sites:
1 Mn 0.0000 0.0000 0.0000 [2 per cell]  8 Cr 2.47
2 Cr 0.1029 0.6987 0.5000 [8 per cell]  6 Cr 2.43-2.46, 2 Mn 2.47

Mass density = 7.7 Mg/m³
DFT formation energy = 18 meV/atom
Magnetization = 0.00 μB per formula unit



Entry from Alexandria: a geometry-optimized SrZn3Rh structure (GGA-PBE).

a = 16.6147 Å, b = 4.2724 Å, c = 5.7056 Å
α = 90.00°, β = 98.62°, γ = 90.00°
Closest atoms and distances in Å follow each position.
Space group Cm (No. 8)
Unique sites:
1 Sr 0.0000 0.0000 0.0000 [2 per cell]  5 Zn 3.10-3.41, 2 Rh 3.25-3.26
2 Sr 0.2136 0.5000 0.3217 [2 per cell]  10 Zn 3.13-3.49, 3 Rh 3.15-3.41
3 Zn 0.0828 0.0000 0.5477 [2 per cell]  4 Zn 2.59-2.61, 1 Rh 2.65
4 Zn 0.1322 0.5000 0.7901 [2 per cell]  2 Rh 2.57, 4 Zn 2.61-2.86
5 Zn 0.3063 0.5000 0.8588 [2 per cell]  2 Rh 2.59, 5 Zn 2.59-2.86
6 Zn 0.3519 0.0000 0.1767 [2 per cell]  3 Rh 2.65-2.74, 5 Zn 2.71-2.97
7 Zn 0.3521 0.0000 0.6568 [2 per cell]  4 Zn 2.59-2.74, 3 Rh 2.62-2.65
8 Zn 0.4936 0.0000 0.4812 [2 per cell]  2 Rh 2.59, 5 Zn 2.59-2.71
9 Rh 0.2181 0.0000 0.8585 [2 per cell]  7 Zn 2.57-2.65
10 Rh 0.4045 0.5000 0.4600 [2 per cell]  6 Zn 2.59-2.74

Mass density = 6.4 Mg/m³
DFT formation energy = -342 meV/atom
Magnetization = 0.00 μB per formula unit



Entry from Alexandria: a geometry-optimized CaZrOs2 structure (GGA-PBE).

a = 3.1420 Å, b = 3.1420 Å, c = 26.6702 Å
α = 90.00°, β = 90.00°, γ = 120.00°
Closest atoms and distances in Å follow each position.
Space group R-3m (No. 166, hexagonal axes)
Unique sites:
1 Ca 0.0000 0.0000 0.0000 [3 per cell]  6 Os 3.00, 6 Ca 3.14
2 Zr 0.0000 0.0000 0.5000 [3 per cell]  6 Os 2.74
3 Os 0.0000 0.0000 0.2436 [6 per cell]  3 Zr 2.74, 3 Ca 3.00

Mass density = 11.2 Mg/m³
DFT formation energy = 385 meV/atom
Magnetization = 0.00 μB per formula unit



Entry from Alexandria: a geometry-optimized In3SiSn structure (GGA-PBE).

a = 5.2456 Å, b = 5.2456 Å, c = 5.2456 Å
α = 90.00°, β = 90.00°, γ = 90.00°
Closest atoms and distances in Å follow each position.
Space group Pm-3m (No. 221)
Unique sites:
1 In 0.0000 0.0000 0.5000 [3 per cell]  2 Si 2.62
2 Si 0.0000 0.0000 0.0000 [1 per cell]  6 In 2.62
3 Sn 0.5000 0.5000 0.5000 [1 per cell]  12 In 3.71

Mass density = 5.7 Mg/m³
Formation energy without anion corrections = 0.394 eV/atom
Magnetization = 0.00 μB per formula unit



What is the formula in the first record? ScRu2Rh